No. 1
Below is a relaxed structure of SiPRhCl2, with properties calculated at the GGA-PBE level.

Lattice parameters (Å, degrees): 4.764 4.764 4.660 90.00 90.00 90.00
Sites, in units of the cell vectors:
P (0.000, 0.000, 0.500)
Si (0.500, 0.500, 0.500)
Rh (0.000, 0.000, 0.000)
Cl (0.000, 0.500, 0.000)
Cl (0.500, 0.000, 0.000)

The value obtained for the total energy is -3.918 eV per atom. The formation energy without anion corrections comes out at 2.29 eV per formula unit. As for the distance to the lowest polymorph of the same formula: 0.000 eV per atom. As for the density of states at the Fermi level: 0.880 states/eV/atom.



No. 2
Below is a relaxed structure of SiPRhCl2, with properties calculated at the GGA-PBE level.

Lattice parameters (Å, degrees): 4.469 4.469 4.915 90.00 90.00 90.00
Each line ends with the local moment (μB).
Sites, in units of the cell vectors:
P (0.000, 0.000, 0.500)  0.07
Si (0.000, 0.000, 0.000)  0.00
Rh (0.500, 0.500, 0.500)  1.12
Cl (0.000, 0.500, 0.000)  0.04
Cl (0.500, 0.000, 0.000)  0.04

The value obtained for the total energy is -3.729 eV per atom. The formation energy without anion corrections comes out at 3.23 eV per formula unit. As for the distance to the lowest polymorph of the same formula: 0.190 eV per atom. As for the density of states at the Fermi level: 1.525 states/eV/atom.



No. 3
Below is a relaxed structure of Sm4PRhCl2, with properties calculated at the GGA-PBE level.

Lattice parameters (Å, degrees): 3.990 7.305 7.372 72.71 90.00 90.00
Sites, in units of the cell vectors:
Sm (0.000, 0.710, 0.772)
Sm (0.000, 0.290, 0.228)
Sm (0.500, 0.715, 0.261)
Sm (0.500, 0.285, 0.739)
P (0.000, 0.500, 0.500)
Rh (0.500, 0.500, 0.000)
Cl (0.000, 0.000, 0.000)
Cl (0.500, 0.000, 0.500)

The value obtained for the total energy is -5.732 eV per atom. The formation energy without anion corrections comes out at -10.53 eV per formula unit. As for the density of states at the Fermi level: 0.761 states/eV/atom.